(1)
This record from the Alexandria database describes a relaxed Pm5Al2Ag12 crystal. The functional is PBE.

abc: 8.7703 8.7703 7.0081
angles: 91.57 91.57 51.24
Positions (direct):
Pm 0.0000 0.0000 0.0000
Pm 0.2440 0.2440 0.9400
Pm 0.2981 0.2981 0.4668
Pm 0.7019 0.7019 0.5332
Pm 0.7560 0.7560 0.0600
Al 0.3002 0.6998 0.5000
Al 0.6998 0.3002 0.5000
Ag 0.0483 0.6655 0.7474
Ag 0.0922 0.0922 0.5869
Ag 0.1981 0.5904 0.1600
Ag 0.3345 0.9517 0.2526
Ag 0.4096 0.8019 0.8400
Ag 0.4504 0.4504 0.8101
Ag 0.5496 0.5496 0.1899
Ag 0.5904 0.1981 0.1600
Ag 0.6655 0.0483 0.7474
Ag 0.8019 0.4096 0.8400
Ag 0.9078 0.9078 0.4131
Ag 0.9517 0.3345 0.2526

## Properties
- E_form (eV per atom) = -0.17

=====

(2)
This record from the Alexandria database describes a relaxed TlAgPb2 crystal. The functional is PBE.

abc: 3.7339 5.3488 5.5984
angles: 90.00 90.00 90.00
Positions (direct):
Tl 0.0000 0.0000 0.0000
Ag 0.5000 0.0000 0.5000
Pb 0.0000 0.5000 0.5000
Pb 0.5000 0.5000 0.0000

## Properties
- E_form (eV per atom) = 0.13
- polymorph energy (0 for the lowest one) (eV per formula unit) = 0.422

=====

(3)
This record from the Alexandria database describes a relaxed Zn3NiIr crystal. The functional is PBE.

abc: 4.3538 4.3538 4.3538
angles: 90.00 90.00 90.00
Positions (direct):
Zn 0.0000 0.0000 0.5000
Zn 0.0000 0.5000 0.0000
Zn 0.5000 0.0000 0.0000
Ni 0.0000 0.0000 0.0000
Ir 0.5000 0.5000 0.5000

## Properties
- E_form (eV per atom) = 0.67
- polymorph energy (0 for the lowest one) (eV per formula unit) = 4.267

=====

(4)
This record from the Alexandria database describes a relaxed TaCu2Au crystal. The functional is PBE.

abc: 2.7168 4.2044 5.4583
angles: 90.00 104.13 90.00
Positions (direct):
Ta 0.0000 0.0000 0.0000
Cu 0.2668 0.0000 0.5308
Cu 0.3893 0.5000 0.7727
Au 0.6453 0.5000 0.2903

## Properties
- E_form (eV per atom) = 0.10
- polymorph energy (0 for the lowest one) (eV per formula unit) = 0.283

=====

(5)
This record from the Alexandria database describes a relaxed PrSmCo2 crystal. The functional is PBE.

abc: 3.9599 5.6716 7.8782
angles: 90.00 90.00 90.00
Positions (direct):
Pr 0.0000 0.1407 0.0000
Pr 0.0000 0.8593 0.5000
Sm 0.5000 0.3600 0.6449
Sm 0.5000 0.6400 0.1449
Co 0.0000 0.3452 0.3522
Co 0.0000 0.6548 0.8522
Co 0.5000 0.1735 0.2977
Co 0.5000 0.8265 0.7977

## Properties
- E_form (eV per atom) = -0.06
- polymorph energy (0 for the lowest one) (eV per formula unit) = 0.000

=====

(6)
This record from the Alexandria database describes a relaxed Tb2NdAl2 crystal. The functional is PBE.

abc: 3.6915 5.2398 13.7098
angles: 90.00 97.74 90.00
Positions (direct):
Tb 0.0470 0.2500 0.0945
Tb 0.2323 0.2500 0.4655
Tb 0.7677 0.7500 0.5345
Tb 0.9530 0.7500 0.9055
Nd 0.1425 0.7500 0.2877
Nd 0.8575 0.2500 0.7123
Al 0.3597 0.7500 0.7181
Al 0.4530 0.2500 0.9061
Al 0.5470 0.7500 0.0939
Al 0.6403 0.2500 0.2819

## Properties
- E_form (eV per atom) = -0.29
- polymorph energy (0 for the lowest one) (eV per formula unit) = 0.000

=====

(7)
This record from the Alexandria database describes a relaxed NdTm3Tl3 crystal. The functional is PBE.

abc: 9.3921 9.3921 5.2227
angles: 90.00 90.00 120.00
Positions (direct):
Nd 0.3333 0.6667 0.2500
Nd 0.6667 0.3333 0.7500
Tm 0.0015 0.7727 0.2500
Tm 0.2273 0.2288 0.2500
Tm 0.2288 0.0015 0.7500
Tm 0.7712 0.9985 0.2500
Tm 0.7727 0.7712 0.7500
Tm 0.9985 0.2273 0.7500
Tl 0.0724 0.6250 0.7500
Tl 0.3750 0.4474 0.7500
Tl 0.4474 0.0724 0.2500
Tl 0.5526 0.9276 0.7500
Tl 0.6250 0.5526 0.2500
Tl 0.9276 0.3750 0.2500

## Properties
- E_form (eV per atom) = -0.24
- polymorph energy (0 for the lowest one) (eV per formula unit) = 0.000

=====

(8)
This record from the Alexandria database describes a relaxed CaZnCdF2 crystal. The functional is PBE.

abc: 4.3825 4.3825 5.2780
angles: 90.00 90.00 90.00
Positions (direct):
Ca 0.0000 0.0000 0.0000
Zn 0.5000 0.5000 0.5000
Cd 0.5000 0.5000 0.0000
F 0.0000 0.5000 0.5000
F 0.5000 0.0000 0.5000

## Properties
- E_form (uncorrected) (eV per atom) = -1.220

=====

Density readings, ordered: 8.19; 10.79; 9.00; 13.87; 7.68; 6.52; 10.52; 4.19 g/cm3